(1)
The following is a DFT calculation (meta-GGA SCAN) of a crystal of TlIn relaxed with PBEsol.

## Properties
As for the mass density: 9.07 g cm⁻³. The space group is P6_3/mmc. The value obtained for the density of states at the Fermi level is 0.4541 states/eV/atom.

a b c (Å): 4.6787 4.6787 6.1674
angles (deg): 90.00 90.00 120.00
Last column: nearest neighbours and their distance in Å.
Fractional positions:
1 In 0.0000 0.0000 0.5000  2 In 3.08, 6 Tl 3.11
2 In 0.0000 0.0000 0.0000  2 In 3.08, 6 Tl 3.11
3 Tl 0.3333 0.6667 0.2500  6 In 3.11
4 Tl 0.6667 0.3333 0.7500  6 In 3.11

---

(2)
The following is a DFT calculation (meta-GGA SCAN) of a crystal of TlIn relaxed with PBEsol.

## Properties
As for the mass density: 9.86 g cm⁻³. The space group is C2/m. The value obtained for the density of states at the Fermi level is 0.3879 states/eV/atom.

a b c (Å): 3.3970 5.7788 6.4270
angles (deg): 116.90 105.32 90.00
Last column: nearest neighbours and their distance in Å.
Fractional positions:
1 In 0.6300 0.9582 0.2599  5 In 3.26-3.48, 7 Tl 3.32-3.40
2 In 0.3700 0.0418 0.7401  5 In 3.26-3.48, 7 Tl 3.32-3.40
3 Tl 0.8794 0.5588 0.7589  7 In 3.32-3.40, 5 Tl 3.36-3.41
4 Tl 0.1206 0.4412 0.2411  7 In 3.32-3.40, 5 Tl 3.36-3.41

---

(3)
The following is a DFT calculation (meta-GGA SCAN) of a crystal of TlIn2 relaxed with PBEsol.

## Properties
As for the mass density: 8.77 g cm⁻³. The space group is Fd-3m. The value obtained for the density of states at the Fermi level is 0.3421 states/eV/atom.

a b c (Å): 6.1491 6.1491 6.1491
angles (deg): 60.00 60.00 60.00
Last column: nearest neighbours and their distance in Å.
Fractional positions:
1 In 0.1250 0.6250 0.1250  6 In 3.07
2 In 0.1250 0.1250 0.6250  6 In 3.07
3 In 0.6250 0.1250 0.1250  6 In 3.07
4 In 0.1250 0.1250 0.1250  6 In 3.07
5 Tl 0.7500 0.7500 0.7500  12 In 3.61, 4 Tl 3.77
6 Tl 0.5000 0.5000 0.5000  12 In 3.61, 4 Tl 3.77

---

| no. | E (Ry/atom) |
| --- | --- |
| 1 | -3.8781 |
| 2 | -3.8818 |
| 3 | -3.4041 |